#one
Below is HgAs2Rh2 after structural relaxation, with properties calculated at the GGA-PBE level.

Cell: 7.487 7.487 3.138 Å, 90.00 90.00 90.00°
Positions (direct):
As 0.140 0.640 0.500
As 0.640 0.860 0.500
As 0.860 0.360 0.500
As 0.360 0.140 0.500
Rh 0.364 0.864 0.000
Rh 0.864 0.636 0.000
Rh 0.636 0.136 0.000
Rh 0.136 0.364 0.000
Hg 0.000 0.000 0.000
Hg 0.500 0.500 0.000

Properties
Its space group is No. 127.

#two
Below is HgAs2Rh2 after structural relaxation, with properties calculated at the GGA-PBE level.

Cell: 4.004 4.004 6.449 Å, 71.92 71.92 90.00°
Positions (direct):
As 0.750 0.250 0.500
As 0.250 0.750 0.500
Rh 0.379 0.379 0.241
Rh 0.621 0.621 0.759
Hg 0.000 0.000 0.000

Properties
Its space group is No. 139.

Compare the structures above. Which one is the most stable? #one is.